# TiPRu3 (PBE, relaxed)
# ΔH_f (0 K) = 39.0 meV/atom
# ρ = 7.93 g/cm3
# Crystal system = cubic
# Distance to the lowest polymorph of the same formula = 0 meV/atom
data_TiPRu3
_chemical_formula_sum 'Ti1 P1 Ru3'
_cell_length_a 4.308
_cell_length_b 4.308
_cell_length_c 4.308
_cell_angle_alpha 90.00
_cell_angle_beta 90.00
_cell_angle_gamma 90.00
_space_group_name_H-M_alt 'P m -3 m'
_space_group_IT_number 221
_space_group_name_Hall '-P 4 2 3'
loop_
_atom_site_label
_atom_site_fract_x
_atom_site_fract_y
_atom_site_fract_z
_atom_site_occupancy
Ti1 0.000 0.000 0.000 1
P1 0.500 0.500 0.500 1
Ru1 0.000 0.500 0.500 1

***

# Te2SeS (PBE, relaxed)
# ρ = 4.89 g/cm3
# ΔE_f (raw) = 0.324 eV/atom
# Crystal system = trigonal
# Distance to the lowest polymorph of the same formula = 250 meV/atom
data_Te2SeS
_chemical_formula_sum 'Te6 Se3 S3'
_cell_length_a 4.0649
_cell_length_b 4.0649
_cell_length_c 26.0751
_cell_angle_alpha 90.00
_cell_angle_beta 90.00
_cell_angle_gamma 120.00
_space_group_name_H-M_alt 'R -3 m'
_space_group_IT_number 166
_space_group_name_Hall '-R 3 2"'
loop_
_atom_site_label
_atom_site_fract_x
_atom_site_fract_y
_atom_site_fract_z
_atom_site_occupancy
Te1 0.0000 0.0000 0.0952 1
Se1 0.0000 0.0000 0.5000 1
S1 0.0000 0.0000 0.0000 1

***

# La2Be3CoGe4 (PBE, relaxed)
# ΔH_f (0 K) = -432.5 meV/atom
# ρ = 6.42 g/cm3
# Crystal system = tetragonal
data_La2Be3CoGe4
_chemical_formula_sum 'La2 Be3 Co1 Ge4'
_cell_length_a 4.154
_cell_length_b 4.154
_cell_length_c 9.816
_cell_angle_alpha 90.00
_cell_angle_beta 90.00
_cell_angle_gamma 90.00
_space_group_name_H-M_alt 'P -4 m 2'
_space_group_IT_number 115
loop_
_space_group_symop_operation_xyz
'x,y,z'
'y,-x,-z'
'-x,-y,z'
'-y,x,-z'
'-x,y,z'
'-y,-x,-z'
'x,-y,z'
'y,x,-z'
loop_
_atom_site_label
_atom_site_fract_x
_atom_site_fract_y
_atom_site_fract_z
_atom_site_occupancy
La1 0.000 0.500 0.245 1
Be1 0.000 0.000 0.000 1
Be2 0.000 0.500 0.630 1
Co1 0.500 0.500 0.000 1
Ge1 0.000 0.000 0.500 1
Ge2 0.000 0.500 0.875 1
Ge3 0.500 0.500 0.500 1

***

# LaInIr3 (PBE, relaxed)
# ΔH_f (0 K) = 813.0 meV/atom
# ρ = 11.70 g/cm3
# Crystal system = cubic
# Distance to the lowest polymorph of the same formula = 0 meV/atom
data_LaInIr3
_chemical_formula_sum 'La1 In1 Ir3'
_cell_length_a 4.903
_cell_length_b 4.903
_cell_length_c 4.903
_cell_angle_alpha 90.00
_cell_angle_beta 90.00
_cell_angle_gamma 90.00
_space_group_name_H-M_alt 'P m -3 m'
_space_group_IT_number 221
_space_group_name_Hall '-P 4 2 3'
loop_
_atom_site_label
_atom_site_fract_x
_atom_site_fract_y
_atom_site_fract_z
_atom_site_occupancy
La1 0.000 0.000 0.000 1
In1 0.500 0.500 0.500 1
Ir1 0.000 0.500 0.500 1